This record from the Alexandria database describes a geometry-optimized TcPCl2 structure. The functional is GGA-PBE.

Calculated values
For the total energy, the calculation gives -19.1 eV per formula unit. For the energy relative to the elements, uncorrected, the calculation gives 98 meV per atom.

Cell: 2.9429 2.9429 8.8443 Å, 90.00 90.00 90.00°
Closest atoms and distances in Å follow each position.
Atoms (fractional coordinates):
P (0.0000, 0.0000, 0.5727)  4 Tc 2.50
Cl (0.5000, 0.5000, 0.2844)  4 Cl 2.94, 4 P 3.29
Cl (0.0000, 0.0000, 0.9141)  4 Tc 2.65, 4 Cl 2.94
Tc (0.5000, 0.5000, 0.7287)  4 P 2.50, 4 Cl 2.65

=====

This record from the Alexandria database describes a geometry-optimized TcPCl structure. The functional is GGA-PBE.

Calculated values
For the total energy, the calculation gives -17.8 eV per formula unit. For the energy relative to the elements, uncorrected, the calculation gives -74 meV per atom.

Cell: 6.7704 6.7704 6.7704 Å, 148.78 155.44 40.12°
Closest atoms and distances in Å follow each position.
Atoms (fractional coordinates):
Cl (0.9660, 0.9660, 0.0000)  1 Tc 2.26
Tc (0.7885, 0.7885, 0.0000)  1 Cl 2.26, 4 P 2.39
P (0.2454, 0.2454, 0.0000)  4 Tc 2.39

=====

Number 1: D(E_F) 3.16 states/eV/f.u., volume 76.60 Å³ per cell, energy above the most stable polymorph in this dataset 0.543 eV/atom. Number 2: D(E_F) 2.21 states/eV/f.u., volume 66.74 Å³ per cell, energy above the most stable polymorph in this dataset 0.050 eV/atom.